## a
First-principles (PBE-GGA) data for an optimized crystal structure of MnZn2Pd2, as listed in the Alexandria database.

## Properties
For the size of the total moment, the calculation gives 8.64 μB/cell. The calculation puts the density of states at the Fermi level at 0.46 states/eV/atom. The volume is 76.31 Å³/f.u.

a b c (Å): 7.238 7.238 2.914
angles (deg): 90.00 90.00 90.00
Site moments in Bohr magnetons follow the coordinates.
Sites, in units of the cell vectors:
Zn (0.374, 0.874, 0.000)  -0.01
Zn (0.874, 0.626, 0.000)  -0.01
Zn (0.626, 0.126, 0.000)  -0.01
Zn (0.126, 0.374, 0.000)  -0.01
Mn (0.000, 0.000, 0.000)  4.01
Mn (0.500, 0.500, 0.000)  4.01
Pd (0.173, 0.673, 0.500)  0.08
Pd (0.673, 0.827, 0.500)  0.08
Pd (0.827, 0.327, 0.500)  0.08
Pd (0.327, 0.173, 0.500)  0.08

## b
First-principles (PBE-GGA) data for an optimized crystal structure of MnZn2Pd2, as listed in the Alexandria database.

## Properties
For the size of the total moment, the calculation gives 0.18 μB/cell. The calculation puts the density of states at the Fermi level at 1.14 states/eV/atom. The volume is 74.04 Å³/f.u.

a b c (Å): 7.295 7.295 2.783
angles (deg): 90.00 90.00 90.00
Site moments in Bohr magnetons follow the coordinates.
Sites, in units of the cell vectors:
Zn (0.161, 0.661, 0.500)  0.00
Zn (0.661, 0.839, 0.500)  0.00
Zn (0.839, 0.339, 0.500)  0.00
Zn (0.339, 0.161, 0.500)  0.00
Mn (0.000, 0.000, 0.000)  -0.14
Mn (0.500, 0.500, 0.000)  -0.14
Pd (0.362, 0.862, 0.000)  0.02
Pd (0.862, 0.638, 0.000)  0.02
Pd (0.638, 0.138, 0.000)  0.02
Pd (0.138, 0.362, 0.000)  0.02

Tell me which of them is the least stable. Sure, it is b.

## a
First-principles (PBE-GGA) data for an optimized crystal structure of Zr3MnPd, as listed in the Alexandria database.

## Properties
For the size of the total moment, the calculation gives 0.67 μB/cell. The calculation puts the density of states at the Fermi level at 2.60 states/eV/atom. The volume is 125.36 Å³/f.u.

a b c (Å): 5.005 5.005 5.005
angles (deg): 90.00 90.00 90.00
Site moments in Bohr magnetons follow the coordinates.
Sites, in units of the cell vectors:
Mn (0.500, 0.500, 0.500)  0.02
Zr (0.000, 0.500, 0.000)  0.13
Zr (0.000, 0.000, 0.500)  0.05
Zr (0.500, 0.000, 0.000)  0.18
Pd (0.000, 0.000, 0.000)  0.01

## b
First-principles (PBE-GGA) data for an optimized crystal structure of Zr3MnPd, as listed in the Alexandria database.

## Properties
For the size of the total moment, the calculation gives 0.00 μB/cell. The calculation puts the density of states at the Fermi level at 1.42 states/eV/atom. The volume is 108.16 Å³/f.u.

a b c (Å): 4.765 4.765 4.765
angles (deg): 90.00 90.00 90.00
Sites, in units of the cell vectors:
Mn (0.000, 0.000, 0.000)
Zr (0.000, 0.500, 0.000)
Zr (0.000, 0.000, 0.500)
Zr (0.500, 0.000, 0.000)
Pd (0.500, 0.500, 0.500)

Tell me which of them is the least stable. Sure, it is a.

## a
First-principles (PBE-GGA) data for an optimized crystal structure of ZrMn2Pd8, as listed in the Alexandria database.

## Properties
For the size of the total moment, the calculation gives 8.71 μB/cell. The calculation puts the density of states at the Fermi level at 0.47 states/eV/atom. The volume is 172.67 Å³/f.u.

a b c (Å): 4.035 6.314 7.360
angles (deg): 106.07 105.91 90.00
Site moments in Bohr magnetons follow the coordinates.
Sites, in units of the cell vectors:
Zr (0.500, 0.000, 0.000)  -0.08
Mn (0.776, 0.349, 0.551)  3.88
Mn (0.224, 0.651, 0.449)  3.88
Pd (0.402, 0.541, 0.803)  0.13
Pd (0.682, 0.917, 0.363)  0.10
Pd (0.858, 0.805, 0.715)  0.10
Pd (0.956, 0.274, 0.911)  0.07
Pd (0.142, 0.195, 0.285)  0.10
Pd (0.318, 0.083, 0.637)  0.10
Pd (0.598, 0.459, 0.197)  0.13
Pd (0.044, 0.726, 0.089)  0.07

## b
First-principles (PBE-GGA) data for an optimized crystal structure of ZrMn2Pd8, as listed in the Alexandria database.

## Properties
For the size of the total moment, the calculation gives 8.75 μB/cell. The calculation puts the density of states at the Fermi level at 0.38 states/eV/atom. The volume is 177.92 Å³/f.u.

a b c (Å): 4.158 6.961 7.364
angles (deg): 118.21 106.40 90.00
Site moments in Bohr magnetons follow the coordinates.
Sites, in units of the cell vectors:
Zr (0.500, 0.000, 0.000)  -0.06
Mn (0.192, 0.692, 0.384)  3.85
Mn (0.808, 0.308, 0.616)  3.85
Pd (0.660, 0.880, 0.320)  0.14
Pd (0.340, 0.560, 0.680)  0.14
Pd (0.152, 0.152, 0.305)  0.05
Pd (0.000, 0.299, 0.000)  0.09
Pd (0.848, 0.848, 0.695)  0.05
Pd (0.660, 0.440, 0.320)  0.14
Pd (0.340, 0.120, 0.680)  0.14
Pd (0.000, 0.701, 0.000)  0.09

Tell me which of them is the least stable. Sure, it is b.

## a
First-principles (PBE-GGA) data for an optimized crystal structure of PmPuMn, as listed in the Alexandria database.

## Properties
For the size of the total moment, the calculation gives 3.25 μB/cell. The calculation puts the density of states at the Fermi level at 1.89 states/eV/atom. The volume is 69.47 Å³/f.u.

a b c (Å): 3.491 3.491 6.210
angles (deg): 106.33 106.33 90.00
Site moments in Bohr magnetons follow the coordinates.
Sites, in units of the cell vectors:
Pm (0.010, 0.010, 0.019)  0.21
Mn (0.693, 0.693, 0.387)  -2.63
Pu (0.297, 0.297, 0.594)  5.28

## b
First-principles (PBE-GGA) data for an optimized crystal structure of PmPuMn, as listed in the Alexandria database.

## Properties
For the size of the total moment, the calculation gives 0.00 μB/cell. The calculation puts the density of states at the Fermi level at 1.64 states/eV/atom. The volume is 66.70 Å³/f.u.

a b c (Å): 3.953 6.924 9.837
angles (deg): 82.25 90.00 90.00
Sites, in units of the cell vectors:
Pm (0.511, 0.784, 0.907)
Pm (0.989, 0.284, 0.407)
Pm (0.011, 0.716, 0.593)
Pm (0.489, 0.216, 0.093)
Mn (0.997, 0.461, 0.884)
Mn (0.003, 0.539, 0.116)
Mn (0.503, 0.961, 0.384)
Mn (0.497, 0.039, 0.616)
Pu (0.124, 0.169, 0.726)
Pu (0.376, 0.669, 0.226)
Pu (0.624, 0.331, 0.774)
Pu (0.876, 0.831, 0.274)

Tell me which of them is the least stable. Sure, it is b.

## a
First-principles (PBE-GGA) data for an optimized crystal structure of PmPu2Mn, as listed in the Alexandria database.

## Properties
For the size of the total moment, the calculation gives 0.00 μB/cell. The calculation puts the density of states at the Fermi level at 2.03 states/eV/atom. The volume is 87.84 Å³/f.u.

a b c (Å): 4.284 4.284 6.056
angles (deg): 69.29 69.29 60.00
Sites, in units of the cell vectors:
Pm (0.500, 0.500, 0.500)
Mn (0.000, 0.000, 0.000)
Pu (0.324, 0.324, 0.028)
Pu (0.676, 0.676, 0.972)

## b
First-principles (PBE-GGA) data for an optimized crystal structure of PmPu2Mn, as listed in the Alexandria database.

## Properties
For the size of the total moment, the calculation gives 8.71 μB/cell. The calculation puts the density of states at the Fermi level at 2.82 states/eV/atom. The volume is 98.46 Å³/f.u.

a b c (Å): 3.358 3.358 8.732
angles (deg): 90.00 90.00 90.00
Site moments in Bohr magnetons follow the coordinates.
Sites, in units of the cell vectors:
Pm (0.500, 0.500, 0.500)  -0.01
Mn (0.500, 0.500, 0.000)  -2.72
Pu (0.000, 0.000, 0.810)  5.40
Pu (0.000, 0.000, 0.190)  5.40

Tell me which of them is the least stable. Sure, it is a.

## a
First-principles (PBE-GGA) data for an optimized crystal structure of Pm2SmMn, as listed in the Alexandria database.

## Properties
For the size of the total moment, the calculation gives 3.76 μB/cell. The calculation puts the density of states at the Fermi level at 1.55 states/eV/atom. The volume is 117.35 Å³/f.u.

a b c (Å): 3.628 3.628 8.915
angles (deg): 90.00 90.00 90.00
Site moments in Bohr magnetons follow the coordinates.
Sites, in units of the cell vectors:
Mn (0.500, 0.500, 0.000)  3.58
Sm (0.500, 0.500, 0.500)  0.21
Pm (0.000, 0.000, 0.795)  -0.13
Pm (0.000, 0.000, 0.205)  -0.13

## b
First-principles (PBE-GGA) data for an optimized crystal structure of Pm2SmMn, as listed in the Alexandria database.

## Properties
For the size of the total moment, the calculation gives 3.16 μB/cell. The calculation puts the density of states at the Fermi level at 1.16 states/eV/atom. The volume is 120.70 Å³/f.u.

a b c (Å): 3.456 3.456 11.840
angles (deg): 81.61 81.61 60.00
Site moments in Bohr magnetons follow the coordinates.
Sites, in units of the cell vectors:
Mn (0.000, 0.000, 0.000)  3.69
Sm (0.500, 0.500, 0.500)  0.03
Pm (0.081, 0.081, 0.757)  -0.20
Pm (0.919, 0.919, 0.243)  -0.20

Tell me which of them is the least stable. Sure, it is b.